Entry 1:
Density functional theory data (PBE) for crystalline KCa2W at its relaxed geometry.

Cell lengths 3.1603, 5.1172, 8.7965 Å; angles 90.00, 90.00, 90.00 degrees
Last column: magnetic moment on the atom in μB.
Element x y z (fractional)
Ca1 0.5000 0.5000 0.1768  0.02
Ca2 0.0000 0.0000 0.9410  0.01
K1 0.0000 0.0000 0.5408  0.00
W1 0.5000 0.5000 0.8414  0.96

Computed properties:
Mass density (g/cm3): 3.54
Symmetry: Pmm2, No. 25
ΔE to the lowest computed polymorph (meV per atom): 301
Crystal system: orthorhombic
ΔE_f (eV per atom): 1.1233
V (Å³ per atom): 35.6



Entry 2:
Density functional theory data (PBE) for crystalline KCa4W at its relaxed geometry.

Cell lengths 6.8964, 6.8964, 6.8964 Å; angles 60.00, 60.00, 60.00 degrees
Last column: magnetic moment on the atom in μB.
Element x y z (fractional)
Ca1 0.3740 0.3740 0.3740  0.01
Ca2 0.8780 0.3740 0.3740  0.01
Ca3 0.3740 0.8780 0.3740  0.01
Ca4 0.3740 0.3740 0.8780  0.01
W1 0.0000 0.0000 0.0000  2.91
K1 0.7500 0.7500 0.7500  0.00

Computed properties:
Mass density (g/cm3): 2.74
Symmetry: F-43m, No. 216
Crystal system: cubic
ΔE_f (eV per atom): 1.0911
V (Å³ per atom): 38.7



Entry 3:
Density functional theory data (PBE) for crystalline KCa2W at its relaxed geometry.

Cell lengths 5.7499, 5.7499, 8.2292 Å; angles 87.05, 87.05, 31.31 degrees
Last column: magnetic moment on the atom in μB.
Element x y z (fractional)
W1 0.2520 0.2520 0.1484  0.71
Ca1 0.7480 0.7480 0.8299  0.03
Ca2 0.9895 0.9895 0.0520  0.02
K1 0.5105 0.5105 0.4696  0.01

Computed properties:
Mass density (g/cm3): 3.56
Symmetry: Cm, No. 8
ΔE to the lowest computed polymorph (meV per atom): 293
Crystal system: monoclinic
ΔE_f (eV per atom): 1.1150
V (Å³ per atom): 35.3



Entry 4:
Density functional theory data (PBE) for crystalline KCa2W at its relaxed geometry.

Cell lengths 9.5496, 9.5496, 9.5496 Å; angles 160.98, 147.26, 38.14 degrees
Last column: magnetic moment on the atom in μB.
Element x y z (fractional)
Ca1 0.1008 0.1008 0.0000  0.02
Ca2 0.7391 0.2391 0.5000  0.01
K1 0.4188 0.4188 0.0000  0.00
W1 0.2413 0.7413 0.5000  0.59

Computed properties:
Mass density (g/cm3): 3.28
Symmetry: Imm2, No. 44
ΔE to the lowest computed polymorph (meV per atom): 232
Crystal system: orthorhombic
ΔE_f (eV per atom): 1.0539
V (Å³ per atom): 38.3